! Cu2AgAs, relaxed, DFT PBE-GGA; values from VASP
&SYSTEM
  ibrav = 0, nat = 4, ntyp = 3
/
ATOMIC_SPECIES
As 74.92 As.upf
Cu 63.55 Cu.upf
Ag 107.87 Ag.upf
CELL_PARAMETERS angstrom
-2.527 -3.547 0.714
-4.397 0.362 -0.123
-2.270 -1.799 -3.330
ATOMIC_POSITIONS angstrom
As -4.597 -2.492 -1.369
Cu 0.000 0.000 0.000
Cu -6.896 -3.737 -2.054
Ag -2.299 -1.246 -0.685
! E_tot: -14.04 eV for the cell shown